[1]
First-principles (GGA-PBE) data for crystalline K2CoPdS4 at its relaxed geometry, as listed in Alexandria via LeMat-Bulk.

Cell lengths 5.5616, 7.0598, 11.0241 Å; angles 84.30, 75.39, 66.80 degrees
Positions (direct):
K 0.1824 0.0000 0.6352
K 0.8176 0.0000 0.3648
K 0.5676 0.5000 0.8648
K 0.9324 0.5000 0.1352
Co 0.2500 0.5000 0.5000
Co 0.5000 0.0000 0.0000
Pd 0.7500 0.5000 0.5000
Pd 0.0000 0.0000 0.0000
S 0.3177 0.8095 0.1179
S 0.2451 0.1905 0.8821
S 0.8728 0.8095 0.8821
S 0.5643 0.1905 0.1179
S 0.4323 0.6905 0.3821
S 0.5049 0.3095 0.6179
S 0.8772 0.6905 0.6179
S 0.1857 0.3095 0.3821

Values from the calculation:
ΔE_f (raw) ... -0.574 eV/atom
VASP energy ... -4.450 eV/atom
D(E_F) ... 0.689 states/eV/atom
SG ... Fddd (70)

[2]
First-principles (GGA-PBE) data for crystalline HgC2 at its relaxed geometry, as listed in Alexandria via LeMat-Bulk.

Cell lengths 9.5783, 9.5783, 2.5825 Å; angles 90.00, 90.00, 157.39 degrees
Positions (direct):
Hg 0.6765 0.3235 0.0000
Hg 0.3235 0.6765 0.0000
C 0.0000 0.0000 0.0000
C 0.5000 0.5000 0.5000
C 0.9512 0.0488 0.5000
C 0.0488 0.9512 0.5000

Values from the calculation:
E above lowest polymorph ... 1737 meV per atom
E_form ... 6.82 eV/f.u.
VASP energy ... -3.976 eV/atom
D(E_F) ... 0.126 states/eV/atom
SG ... Cmmm (65)

- Which value of D(E_F) does entry 2 give?
  0.126 states/eV/atom

- Which value of VASP energy does entry 2 give?
  -3.976 eV/atom

- Which of these has the highest D(E_F)?
  K2CoPdS4